This record from the Alexandria database describes MgPCl2F after structural relaxation. The functional is PBE.

Computed properties:
Theoretical density = 2.2 g/cm3
ΔE_f (raw) = -144 kJ/mol of formula units

Unit cell a=5.3987 b=5.3987 c=3.6762 alpha=90.00 beta=90.00 gamma=90.00
Closest atoms and distances in Å follow each position.
Space group P4/mmm (No. 123)
One atom of each set of equivalent atoms:
Mg  0.0000  0.0000  0.0000 (multiplicity 1)  8 Cl 3.27
P  0.5000  0.5000  0.0000 (multiplicity 1)  2 F 1.84
Cl  0.0000  0.5000  0.5000 (multiplicity 2)  2 F 2.70
F  0.5000  0.5000  0.5000 (multiplicity 1)  2 P 1.84